SrV3B4O12: optimized geometry, GGA+U.

```
SrV3B4O12
1.0
-2.6784 0.9839 5.4746
2.1945 -5.7511 0.4716
5.0736 3.5107 0.2156
O V B Sr
12 3 4 1
direct
0.5000 0.0873 0.9127
0.3878 0.9773 0.2239
0.9773 0.2239 0.3878
0.2239 0.3878 0.9773
0.7761 0.0227 0.6122
0.6436 0.5000 0.3564
0.0227 0.6122 0.7761
0.5000 0.3564 0.6436
0.9127 0.5000 0.0873
0.6122 0.7761 0.0227
0.0873 0.9127 0.5000
0.3564 0.6436 0.5000
0.4450 0.0000 0.5550
0.0000 0.5550 0.4450
0.5550 0.4450 0.0000
0.5000 0.5000 0.5000
0.9415 0.0585 0.5000
0.5000 0.9415 0.0585
0.0585 0.5000 0.9415
0.0000 0.0000 0.0000
```

## Properties
crystal system = trigonal
final energy = -7.87 eV per atom

Sr2VBO6: optimized geometry, GGA+U.

```
Sr2VBO6
1.0
-2.1558 1.1325 -4.8407
2.9264 -3.0900 -3.3512
-2.3846 -4.1384 -3.6014
O Sr B V
6 2 1 1
direct
0.6906 0.3090 0.0000
0.7835 0.7830 0.9998
0.2165 0.2170 0.0002
0.7831 0.7831 0.4336
0.2169 0.2169 0.5664
0.3094 0.6910 0.0000
0.2501 0.7501 0.4999
0.7499 0.2499 0.5001
0.5000 0.5000 0.0000
0.0000 0.0000 0.0000
```

## Properties
crystal system = tetragonal
final energy = -7.01 eV per atom

SrVBO4: optimized geometry, GGA+U.

```
SrVBO4
1.0
-1.1782 -2.5256 -4.0227
-1.5098 -4.0334 2.9746
-5.2643 3.3259 1.8379
O Sr B V
8 2 2 2
direct
0.9651 0.0257 0.6990
0.0349 0.9743 0.3010
0.4389 0.7500 0.5511
0.5611 0.2500 0.4489
0.4110 0.7500 0.1772
0.9651 0.4743 0.6990
0.0349 0.5257 0.3010
0.5890 0.2500 0.8228
0.2846 0.2500 0.0743
0.7154 0.7500 0.9257
0.2388 0.7500 0.3337
0.7612 0.2500 0.6663
0.2153 0.2500 0.5460
0.7847 0.7500 0.4540
```

## Properties
crystal system = monoclinic
final energy = -7.53 eV per atom